# TiInAs2, optimized geometry, DFT PBE
# ΔE_f (eV per atom): -0.209
# Spin magnetization (μB per formula unit): 0.83
data_TiInAs2
_chemical_formula_sum 'Ti4 In4 As8'
_cell_length_a 6.0772
_cell_length_b 6.0772
_cell_length_c 11.8112
_cell_angle_alpha 90.00
_cell_angle_beta 90.00
_cell_angle_gamma 90.00
_symmetry_space_group_name_H-M 'I -4 2 d'
_symmetry_Int_Tables_number 122
_symmetry_space_group_name_Hall 'I -4 2bw'
loop_
_atom_site_label
_atom_site_type_symbol
_atom_site_fract_x
_atom_site_fract_y
_atom_site_fract_z
Ti1 Ti 0.0000 0.0000 0.0000
In1 In 0.0000 0.0000 0.5000
As1 As 0.2207 0.2500 0.1250